[1]
Density functional theory data (PBE) for Sm6AlHg5 after structural relaxation.

Computed properties:
Raw total energy, eV/atom: -3.244
V, Å³/cell: 324

CIF file:
```
data_Sm6AlHg5
_cell_length_a 5.320
_cell_length_b 7.627
_cell_length_c 8.426
_cell_angle_alpha 90.00
_cell_angle_beta 108.50
_cell_angle_gamma 90.00
_space_group_name_H-M_alt 'P 1 2/m 1'
_space_group_IT_number 10
loop_
_space_group_symop_operation_xyz
'x,y,z'
'-x,-y,-z'
'-x,y,-z'
'x,-y,z'
loop_
_atom_site_label
_atom_site_type_symbol
_atom_site_fract_x
_atom_site_fract_y
_atom_site_fract_z
Sm1 Sm 0.000 0.246 0.000
Sm2 Sm 0.336 0.247 0.671
Al1 Al 0.500 0.000 0.000
Hg1 Hg 0.163 0.000 0.330
Hg2 Hg 0.166 0.500 0.333
Hg3 Hg 0.500 0.500 0.000
```

***

[2]
Density functional theory data (PBE) for PdSeCl2 after structural relaxation.

Computed properties:
Raw total energy, eV/atom: -3.042
V, Å³/cell: 461
ΔE_f (raw), eV per atom: 0.05
Energy relative to the lowest polymorph listed for this composition, meV per atom: 0

CIF file:
```
data_PdSeCl2
_cell_length_a 9.714
_cell_length_b 9.714
_cell_length_c 4.889
_cell_angle_alpha 90.00
_cell_angle_beta 90.00
_cell_angle_gamma 90.00
_space_group_name_H-M_alt 'I 41/a m d'
_space_group_IT_number 141
loop_
_space_group_symop_operation_xyz
'x,y,z'
'-x,-y,-z'
'-y+1/4,x+3/4,z+1/4'
'y+1/4,-x+3/4,-z+1/4'
'-x+1/2,-y,z+1/2'
'x+1/2,y,-z+1/2'
'y+1/4,-x+1/4,z+3/4'
'-y+1/4,x+1/4,-z+3/4'
'x,-y,-z'
'-x,y,z'
'-y+1/4,-x+1/4,-z+3/4'
'y+1/4,x+1/4,z+3/4'
'-x+1/2,y,-z+1/2'
'x+1/2,-y,z+1/2'
'y+1/4,x+3/4,-z+1/4'
'-y+1/4,-x+3/4,z+1/4'
'x+1/2,y+1/2,z+1/2'
'-x+1/2,-y+1/2,-z+1/2'
'-y+3/4,x+1/4,z+3/4'
'y+3/4,-x+1/4,-z+3/4'
'-x,-y+1/2,z'
'x,y+1/2,-z'
'y+3/4,-x+3/4,z+1/4'
'-y+3/4,x+3/4,-z+1/4'
'x+1/2,-y+1/2,-z+1/2'
'-x+1/2,y+1/2,z+1/2'
'-y+3/4,-x+3/4,-z+1/4'
'y+3/4,x+3/4,z+1/4'
'-x,y+1/2,-z'
'x,-y+1/2,z'
'y+3/4,x+1/4,-z+3/4'
'-y+3/4,-x+1/4,z+3/4'
loop_
_atom_site_label
_atom_site_type_symbol
_atom_site_fract_x
_atom_site_fract_y
_atom_site_fract_z
Pd1 Pd 0.000 0.250 0.375
Se1 Se 0.000 0.250 0.875
Cl1 Cl 0.000 0.000 0.500
```

***

[3]
Density functional theory data (PBE) for TcP2Se after structural relaxation.

Computed properties:
Raw total energy, eV/atom: -6.139
V, Å³/cell: 69
ΔE_f (raw), eV per atom: 0.03

CIF file:
```
data_TcP2Se
_cell_length_a 3.097
_cell_length_b 3.097
_cell_length_c 7.211
_cell_angle_alpha 90.00
_cell_angle_beta 90.00
_cell_angle_gamma 90.00
_space_group_name_H-M_alt 'P 4 m m'
_space_group_IT_number 99
loop_
_space_group_symop_operation_xyz
'x,y,z'
'-y,x,z'
'-x,-y,z'
'y,-x,z'
'-x,y,z'
'y,x,z'
'x,-y,z'
'-y,-x,z'
loop_
_atom_site_label
_atom_site_type_symbol
_atom_site_fract_x
_atom_site_fract_y
_atom_site_fract_z
Tc1 Tc 0.000 0.000 0.000
P1 P 0.000 0.000 0.347
P2 P 0.500 0.500 0.212
Se1 Se 0.500 0.500 0.794
```

***

[4]
Density functional theory data (PBE) for BaNi2Pt after structural relaxation.

Computed properties:
Raw total energy, eV/atom: -5.163
V, Å³/cell: 264

CIF file:
```
data_BaNi2Pt
_cell_length_a 4.2959
_cell_length_b 4.2959
_cell_length_c 16.4889
_cell_angle_alpha 90.00
_cell_angle_beta 90.00
_cell_angle_gamma 120.00
_space_group_name_H-M_alt 'R 3 m'
_space_group_IT_number 160
_space_group_name_Hall 'R 3 -2"'
loop_
_atom_site_label
_atom_site_type_symbol
_atom_site_fract_x
_atom_site_fract_y
_atom_site_fract_z
Ba1 Ba 0.0000 0.0000 0.0000
Ni1 Ni 0.0000 0.0000 0.5047
Ni2 Ni 0.0000 0.0000 0.8219
Pt1 Pt 0.0000 0.0000 0.1862
```

***

[5]
Density functional theory data (PBE) for AlInRu3 after structural relaxation.

Computed properties:
Raw total energy, eV/atom: -4.969
V, Å³/cell: 112
Energy relative to the lowest polymorph listed for this composition, meV per atom: 1089

CIF file:
```
data_AlInRu3
_cell_length_a 4.826
_cell_length_b 4.826
_cell_length_c 4.826
_cell_angle_alpha 90.00
_cell_angle_beta 90.00
_cell_angle_gamma 90.00
_space_group_name_H-M_alt 'P m -3 m'
_space_group_IT_number 221
_space_group_name_Hall '-P 4 2 3'
loop_
_atom_site_label
_atom_site_type_symbol
_atom_site_fract_x
_atom_site_fract_y
_atom_site_fract_z
Al1 Al 0.000 0.000 0.000
In1 In 0.500 0.500 0.500
Ru1 Ru 0.000 0.500 0.500
```

***

[6]
Density functional theory data (PBE) for RbCaC2O6 after structural relaxation.

Computed properties:
Raw total energy, eV/atom: -6.947
V, Å³/cell: 612
ΔE_f (raw), eV per atom: -1.83

CIF file:
```
data_RbCaC2O6
_cell_length_a 8.840
_cell_length_b 10.177
_cell_length_c 7.357
_cell_angle_alpha 90.00
_cell_angle_beta 112.28
_cell_angle_gamma 90.00
_space_group_name_H-M_alt 'C 1 2/c 1'
_space_group_IT_number 15
loop_
_space_group_symop_operation_xyz
'x,y,z'
'-x,-y,-z'
'-x,y,-z+1/2'
'x,-y,z+1/2'
'x+1/2,y+1/2,z'
'-x+1/2,-y+1/2,-z'
'-x+1/2,y+1/2,-z+1/2'
'x+1/2,-y+1/2,z+1/2'
loop_
_atom_site_label
_atom_site_type_symbol
_atom_site_fract_x
_atom_site_fract_y
_atom_site_fract_z
Rb1 Rb 0.000 0.124 0.250
Ca1 Ca 0.000 0.386 0.750
C1 C 0.226 0.381 0.243
O1 O 0.087 0.374 0.095
O2 O 0.174 0.216 0.716
O3 O 0.243 0.015 0.649
```

***

[7]
Density functional theory data (PBE) for TeCS3 after structural relaxation.

Computed properties:
Raw total energy, eV/atom: -3.812
V, Å³/cell: 77
ΔE_f (raw), eV per atom: 1.14
Energy relative to the lowest polymorph listed for this composition, meV per atom: 0

CIF file:
```
data_TeCS3
_cell_length_a 4.256
_cell_length_b 4.256
_cell_length_c 4.256
_cell_angle_alpha 90.00
_cell_angle_beta 90.00
_cell_angle_gamma 90.00
_space_group_name_H-M_alt 'P m -3 m'
_space_group_IT_number 221
_space_group_name_Hall '-P 4 2 3'
loop_
_atom_site_label
_atom_site_type_symbol
_atom_site_fract_x
_atom_site_fract_y
_atom_site_fract_z
Te1 Te 0.000 0.000 0.000
C1 C 0.500 0.500 0.500
S1 S 0.000 0.500 0.500
```

***

[8]
Density functional theory data (PBE) for NdZrCd4 after structural relaxation.

Computed properties:
Raw total energy, eV/atom: -2.955
V, Å³/cell: 568

CIF file:
```
data_NdZrCd4
_cell_length_a 8.281
_cell_length_b 8.281
_cell_length_c 8.281
_cell_angle_alpha 90.00
_cell_angle_beta 90.00
_cell_angle_gamma 90.00
_space_group_name_H-M_alt 'F -4 3 m'
_space_group_IT_number 216
_space_group_name_Hall 'F -4 2 3'
loop_
_atom_site_label
_atom_site_type_symbol
_atom_site_fract_x
_atom_site_fract_y
_atom_site_fract_z
Nd1 Nd 0.000 0.000 0.000
Zr1 Zr 0.250 0.250 0.750
Cd1 Cd 0.125 0.125 0.375
```